K2PrMoO6: relaxed, GGA+U.

- Volume: 162 Å³ per cell
- DFT total energy: -6.38 eV per atom
- Crystal system: cubic
- Total magnetization: 1.1 μB/f.u.

Lattice parameters (Å, degrees): 6.1151 6.1148 6.1141 59.99 60.00 60.00
Site moments in Bohr magnetons follow the coordinates.
Sites, in units of the cell vectors:
Mo (0.3162, 0.3161, 0.0516)  -0.14
K (0.5660, 0.5661, 0.3018)  0.00
K (0.0662, 0.0662, 0.8013)  0.00
O (0.5413, 0.5409, 0.8265)  0.17
O (0.0912, 0.5411, 0.2765)  0.17
O (0.5411, 0.0912, 0.2765)  0.17
O (0.0913, 0.0912, 0.2765)  0.17
O (0.5409, 0.0913, 0.8265)  0.17
O (0.0913, 0.5413, 0.8265)  0.17
Pr (0.8162, 0.8161, 0.5516)  -0.02